TlCuMo2: relaxed, GGA-PBE.

The formation energy is 0.582 eV per atom. As for the magnetic moment: 0.0 μB/f.u. Its energy above the most stable polymorph in this dataset is 179 meV per atom.

It has space group P4mm (No. 99), with a = 2.780 Å, b = 2.780 Å, c = 8.869 Å, α = 90.00°, β = 90.00° and γ = 90.00°. The distinct sites, in fractional coordinates, are Tl at (0.000, 0.000, 0.000), Cu at (0.500, 0.500, 0.262), Mo at (0.000, 0.000, 0.474) and Mo at (0.500, 0.500, 0.724).

=====

Tl2CuMo: relaxed, GGA-PBE.

The formation energy is 0.578 eV per atom. As for the magnetic moment: 0.0 μB/f.u. Its energy above the most stable polymorph in this dataset is 35 meV per atom.

It has space group Cm (No. 8), with a = 11.003 Å, b = 3.037 Å, c = 5.038 Å, α = 90.00°, β = 110.59° and γ = 90.00°. The distinct sites, in fractional coordinates, are Tl at (0.000, 0.000, 0.000), Tl at (0.221, 0.000, 0.607), Cu at (0.274, 0.500, 0.147) and Mo at (0.469, 0.000, 0.488).